Record 1
The following is a PBEsol calculation of a relaxed VPH6C2N3O7 crystal, from Alexandria.

```
data_VPH6C2N3O7
_cell_length_a 6.176
_cell_length_b 8.748
_cell_length_c 8.881
_cell_angle_alpha 64.03
_cell_angle_beta 71.11
_cell_angle_gamma 79.69
_symmetry_space_group_name_H-M 'P 1'
_symmetry_Int_Tables_number 1
_symmetry_space_group_name_Hall 'P 1'
loop_
_atom_site_label
_atom_site_type_symbol
_atom_site_fract_x
_atom_site_fract_y
_atom_site_fract_z
_atom_site_occupancy
V1 V 0.669 0.541 0.154 1
V2 V 0.331 0.459 0.846 1
P1 P 0.168 0.631 0.104 1
P2 P 0.832 0.369 0.896 1
H1 H 0.733 0.865 0.705 1
H2 H 0.267 0.135 0.295 1
H3 H 0.921 0.970 0.185 1
H4 H 0.079 0.030 0.815 1
H5 H 0.047 0.737 0.359 1
H6 H 0.953 0.263 0.641 1
H7 H 0.652 0.063 0.557 1
H8 H 0.348 0.937 0.443 1
H9 H 0.974 0.668 0.591 1
H10 H 0.026 0.332 0.409 1
H11 H 0.761 0.127 0.254 1
H12 H 0.239 0.873 0.746 1
C1 C 0.507 0.403 0.536 1
C2 C 0.493 0.597 0.464 1
C3 C 0.838 0.901 0.447 1
C4 C 0.162 0.099 0.553 1
N1 N 0.724 0.943 0.581 1
N2 N 0.276 0.057 0.419 1
N3 N 0.954 0.752 0.471 1
N4 N 0.046 0.248 0.529 1
N5 N 0.835 0.007 0.285 1
N6 N 0.165 0.993 0.715 1
O1 O 0.590 0.337 0.428 1
O2 O 0.410 0.663 0.572 1
O3 O 0.355 0.521 0.197 1
O4 O 0.645 0.479 0.803 1
O5 O 0.955 0.516 0.204 1
O6 O 0.045 0.484 0.796 1
O7 O 0.252 0.641 0.912 1
O8 O 0.748 0.359 0.088 1
O9 O 0.436 0.323 0.700 1
O10 O 0.564 0.677 0.300 1
O11 O 0.719 0.699 0.970 1
O12 O 0.281 0.301 0.030 1
O13 O 0.122 0.803 0.108 1
O14 O 0.878 0.197 0.892 1
```

## Properties
The total energy comes out at -7.030 eV per atom.

***

Record 2
The following is a PBEsol calculation of a relaxed K2SiRu crystal, from Alexandria.

```
data_K2SiRu
_cell_length_a 3.993
_cell_length_b 3.993
_cell_length_c 9.712
_cell_angle_alpha 78.14
_cell_angle_beta 78.14
_cell_angle_gamma 60.00
_symmetry_space_group_name_H-M 'P 1'
_symmetry_Int_Tables_number 1
_symmetry_space_group_name_Hall 'P 1'
loop_
_atom_site_label
_atom_site_type_symbol
_atom_site_fract_x
_atom_site_fract_y
_atom_site_fract_z
_atom_site_occupancy
K1 K 0.963 0.963 0.110 1
K2 K 0.787 0.787 0.640 1
Ru1 Ru 0.542 0.542 0.375 1
Si1 Si 0.208 0.208 0.375 1
```

## Properties
The total energy comes out at -4.404 eV per atom. The formation energy (no corrections) is 0.14 eV per atom.

***

Record 3
The following is a PBEsol calculation of a relaxed Li3CO crystal, from Alexandria.

```
data_Li3CO
_cell_length_a 3.744
_cell_length_b 3.744
_cell_length_c 3.744
_cell_angle_alpha 90.00
_cell_angle_beta 90.00
_cell_angle_gamma 90.00
_symmetry_space_group_name_H-M 'P 1'
_symmetry_Int_Tables_number 1
_symmetry_space_group_name_Hall 'P 1'
loop_
_atom_site_label
_atom_site_type_symbol
_atom_site_fract_x
_atom_site_fract_y
_atom_site_fract_z
_atom_site_occupancy
C1 C 0.500 0.500 0.500 1
O1 O 0.000 0.000 0.000 1
Li1 Li 0.000 0.500 0.000 1
Li2 Li 0.000 0.000 0.500 1
Li3 Li 0.500 0.000 0.000 1
```

## Properties
The total energy comes out at -4.318 eV per atom. The formation energy (no corrections) is -0.16 eV per atom.

***

Record 4
The following is a PBEsol calculation of a relaxed RbNbHg2Pd crystal, from Alexandria.

```
data_RbNbHg2Pd
_cell_length_a 4.947
_cell_length_b 5.646
_cell_length_c 5.646
_cell_angle_alpha 90.00
_cell_angle_beta 90.00
_cell_angle_gamma 90.00
_symmetry_space_group_name_H-M 'P 1'
_symmetry_Int_Tables_number 1
_symmetry_space_group_name_Hall 'P 1'
loop_
_atom_site_label
_atom_site_type_symbol
_atom_site_fract_x
_atom_site_fract_y
_atom_site_fract_z
_atom_site_occupancy
Rb1 Rb 0.000 0.000 0.000 1
Nb1 Nb 0.500 0.500 0.500 1
Hg1 Hg 0.000 0.000 0.500 1
Hg2 Hg 0.000 0.500 0.000 1
Pd1 Pd 0.500 0.000 0.000 1
```

## Properties
The total energy comes out at -1.989 eV per atom. The value obtained for the formation energy is 1799 meV per atom.

***

Number 1: V 10.19 A^3/atom. Number 2: V 32.57 A^3/atom. Number 3: V 10.50 A^3/atom. Number 4: V 31.54 A^3/atom.